# 1
VASP calculation (PBE) on a relaxed structure of KCu3.

a = 8.2759 Å, b = 8.2759 Å, c = 2.6925 Å
α = 90.00°, β = 90.00°, γ = 123.83°
Last column: nearest neighbours and their distance in Å.
Positions (direct):
K1 0.1162 0.8838 0.7500  2 K 2.69, 2 Cu 2.94
K2 0.8838 0.1162 0.2500  2 K 2.69, 2 Cu 2.94
Cu1 0.1473 0.5425 0.2500  7 Cu 2.42-2.69
Cu2 0.4263 0.5737 0.7500  8 Cu 2.54-2.69
Cu3 0.4575 0.8527 0.2500  7 Cu 2.42-2.69
Cu4 0.5425 0.1473 0.7500  7 Cu 2.42-2.69
Cu5 0.5737 0.4263 0.2500  8 Cu 2.54-2.69
Cu6 0.8527 0.4575 0.7500  7 Cu 2.42-2.69

Results
- ΔH_f (0 K): 0.3957 eV/atom


# 2
VASP calculation (PBE) on a relaxed structure of Nd2SmEr4Sc.

a = 5.0128 Å, b = 5.0128 Å, c = 9.9551 Å
α = 90.00°, β = 90.00°, γ = 90.00°
Last column: nearest neighbours and their distance in Å.
Positions (direct):
Nd1 0.0000 0.0000 0.0000  8 Er 3.49, 4 Sc 3.54
Nd2 0.5000 0.5000 0.5000  4 Sm 3.54, 8 Er 3.57
Sm1 0.0000 0.0000 0.5000  4 Nd 3.54, 8 Er 3.57
Er1 0.0000 0.5000 0.2442  2 Sc 3.49, 4 Nd 3.49-3.57, 4 Er 3.54, 2 Sm 3.57
Er2 0.0000 0.5000 0.7558  4 Nd 3.49-3.57, 2 Sc 3.49, 4 Er 3.54, 2 Sm 3.57
Er3 0.5000 0.0000 0.2442  2 Sc 3.49, 4 Nd 3.49-3.57, 4 Er 3.54, 2 Sm 3.57
Er4 0.5000 0.0000 0.7558  4 Nd 3.49-3.57, 2 Sc 3.49, 4 Er 3.54, 2 Sm 3.57
Sc1 0.5000 0.5000 0.0000  8 Er 3.49, 4 Nd 3.54

Results
- ΔH_f (0 K): 0.0363 eV/atom


# 3
VASP calculation (PBE) on a relaxed structure of Dy6GeSb2Te3.

a = 9.7371 Å, b = 9.7371 Å, c = 8.7183 Å
α = 103.12°, β = 103.12°, γ = 25.68°
Last column: nearest neighbours and their distance in Å.
Positions (direct):
Dy1 0.0007 0.0007 0.2246  2 Ge 2.92, 1 Sb 3.07, 3 Te 3.16-3.23
Dy2 0.3325 0.3325 0.4232  3 Sb 3.03-3.06, 3 Te 3.09-3.11
Dy3 0.3454 0.3454 0.9180  1 Ge 2.86, 2 Sb 3.05, 2 Te 3.12
Dy4 0.6546 0.6546 0.0820  1 Ge 2.86, 2 Sb 3.05, 2 Te 3.12
Dy5 0.6675 0.6675 0.5768  3 Sb 3.03-3.06, 3 Te 3.09-3.11
Dy6 0.9993 0.9993 0.7754  2 Ge 2.92, 1 Sb 3.07, 3 Te 3.16-3.23
Ge1 0.5000 0.5000 0.0000  6 Dy 2.86-2.92
Sb1 0.1666 0.1666 0.3327  6 Dy 3.03-3.07
Sb2 0.8334 0.8334 0.6673  6 Dy 3.03-3.07
Te1 0.1701 0.1701 0.8346  6 Dy 3.11-3.24
Te2 0.5000 0.5000 0.5000  6 Dy 3.09-3.23
Te3 0.8299 0.8299 0.1654  6 Dy 3.11-3.24

Results
- Uncorrected formation energy: -1.25 eV/atom